## Tb16Nd6Sm7 (GGA-PBE)

Data for a geometry-optimized Tb16Nd6Sm7 structure.

```
29
Lattice="0.0000 7.9667 7.9667 7.9667 0.0000 7.9667 7.9667 7.9667 0.0000" Properties=species:S:1:pos:R:3 pbc="T T T"
Tb 10.3720 5.5615 5.5615
Tb 2.0377 2.0377 2.0377
Tb 5.9290 5.9290 2.0377
Tb 5.9290 2.0377 5.9290
Tb 5.5615 5.5615 5.5615
Tb 10.3720 10.3720 5.5615
Tb 10.3720 5.5615 10.3720
Tb 13.8958 10.0045 10.0045
Tb 2.0377 5.9290 5.9290
Tb 5.5615 10.3720 5.5615
Tb 5.5615 5.5615 10.3720
Tb 10.3720 10.3720 10.3720
Tb 10.0045 13.8958 10.0045
Tb 10.0045 10.0045 13.8958
Tb 13.8958 13.8958 13.8958
Tb 5.5615 10.3720 10.3720
Nd 7.9667 7.9667 4.2791
Nd 7.9667 4.2791 7.9667
Nd 11.6544 7.9667 7.9667
Nd 4.2791 7.9667 7.9667
Nd 7.9667 11.6544 7.9667
Nd 7.9667 7.9667 11.6544
Sm 0.0000 0.0000 0.0000
Sm 3.9834 3.9834 0.0000
Sm 3.9834 0.0000 3.9834
Sm 7.9667 3.9834 3.9834
Sm 0.0000 3.9834 3.9834
Sm 3.9834 7.9667 3.9834
Sm 3.9834 3.9834 7.9667
```

Values from the calculation:
For the raw total energy, the calculation gives -4.449 eV per atom. The value obtained for the formation energy is 6.716 eV/f.u. The density of states at the Fermi level comes out at 52.2 states/eV per cell. For the calculated volume, the calculation gives 1011 Å³ per cell.